[1]
# CsNaSe (GGA-PBE, relaxed)
# raw formation energy	-0.97	eV per atom
# V	538.8	Å³ per cell
data_CsNaSe
_symmetry_space_group_name_H-M 'C m m m'
_symmetry_Int_Tables_number 65
_symmetry_space_group_name_Hall '-C 2 2'
_cell_length_a 8.917
_cell_length_b 12.136
_cell_length_c 4.979
_cell_angle_alpha 90.00
_cell_angle_beta 90.00
_cell_angle_gamma 90.00
loop_
_atom_site_label
_atom_site_fract_x
_atom_site_fract_y
_atom_site_fract_z
Cs1 0.000 0.195 0.000
Na1 0.185 0.500 0.500
Se1 0.000 0.000 0.500
Se2 0.000 0.500 0.000



[2]
# LiSmInCo (GGA-PBE, relaxed)
# formation energy	-0.15	eV/atom
# V	299.7	Å³ per cell
data_LiSmInCo
_symmetry_space_group_name_H-M 'F -4 3 m'
_symmetry_Int_Tables_number 216
_symmetry_space_group_name_Hall 'F -4 2 3'
_cell_length_a 6.692
_cell_length_b 6.692
_cell_length_c 6.692
_cell_angle_alpha 90.00
_cell_angle_beta 90.00
_cell_angle_gamma 90.00
loop_
_atom_site_label
_atom_site_fract_x
_atom_site_fract_y
_atom_site_fract_z
Li1 0.000 0.000 0.000
Sm1 0.250 0.250 0.750
In1 0.250 0.250 0.250
Co1 0.000 0.000 0.500



[3]
# AlCdRe2 (GGA-PBE, relaxed)
# formation energy	0.11	eV/atom
# distance to the lowest polymorph of the same formula	0	meV per atom
# V	198.1	Å³ per cell
data_AlCdRe2
_symmetry_space_group_name_H-M 'R 3 m'
_symmetry_Int_Tables_number 160
_symmetry_space_group_name_Hall 'R 3 -2"'
_cell_length_a 2.8532
_cell_length_b 2.8532
_cell_length_c 28.0928
_cell_angle_alpha 90.00
_cell_angle_beta 90.00
_cell_angle_gamma 120.00
loop_
_atom_site_label
_atom_site_fract_x
_atom_site_fract_y
_atom_site_fract_z
Al1 0.0000 0.0000 0.0000
Cd1 0.0000 0.0000 0.7591
Re1 0.0000 0.0000 0.2568
Re2 0.0000 0.0000 0.5170



[4]
# ZrPt3 (GGA-PBE, relaxed)
# formation energy	-1.03	eV/atom
# V	66.6	Å³ per cell
data_ZrPt3
_symmetry_space_group_name_H-M 'P m -3 m'
_symmetry_Int_Tables_number 221
_symmetry_space_group_name_Hall '-P 4 2 3'
_cell_length_a 4.053
_cell_length_b 4.053
_cell_length_c 4.053
_cell_angle_alpha 90.00
_cell_angle_beta 90.00
_cell_angle_gamma 90.00
loop_
_atom_site_label
_atom_site_fract_x
_atom_site_fract_y
_atom_site_fract_z
Zr1 0.000 0.000 0.000
Pt1 0.000 0.500 0.500



[5]
# TbNd2SnN4 (GGA-PBE, relaxed)
# raw formation energy	-0.73	eV per atom
# V	535.9	Å³ per cell
data_TbNd2SnN4
_symmetry_space_group_name_H-M 'C m c m'
_symmetry_Int_Tables_number 63
_symmetry_space_group_name_Hall '-C 2c 2'
_cell_length_a 3.515
_cell_length_b 12.079
_cell_length_c 12.624
_cell_angle_alpha 90.00
_cell_angle_beta 90.00
_cell_angle_gamma 90.00
loop_
_atom_site_label
_atom_site_fract_x
_atom_site_fract_y
_atom_site_fract_z
Tb1 0.000 0.138 0.250
Nd1 0.000 0.368 0.028
Sn1 0.000 0.131 0.750
N1 0.000 0.000 0.000
N2 0.000 0.262 0.635
N3 0.000 0.473 0.250



[6]
# NbC3N (GGA-PBE, relaxed)
# raw formation energy	3.14	eV per atom
# distance to the lowest polymorph of the same formula	681	meV per atom
# V	76.3	Å³ per cell
data_NbC3N
_symmetry_space_group_name_H-M 'P m -3 m'
_symmetry_Int_Tables_number 221
_symmetry_space_group_name_Hall '-P 4 2 3'
_cell_length_a 4.241
_cell_length_b 4.241
_cell_length_c 4.241
_cell_angle_alpha 90.00
_cell_angle_beta 90.00
_cell_angle_gamma 90.00
loop_
_atom_site_label
_atom_site_fract_x
_atom_site_fract_y
_atom_site_fract_z
Nb1 0.000 0.000 0.000
C1 0.000 0.000 0.500
N1 0.500 0.500 0.500



So what do the calculations give for total DFT energy (no corrections)? Going down the list: -2.8535 -4.2689 -7.2768 -7.6981 -7.1651 -6.0703 eV per atom.